# ScZn2Te, single point on PBEsol structure, DFT meta-GGA SCAN
data_ScZn2Te
_chemical_formula_sum 'Sc1 Zn2 Te1'
_symmetry_space_group_name_H-M 'P 1 m 1'
_symmetry_Int_Tables_number 6
_cell_length_a 3.8031
_cell_length_b 3.8034
_cell_length_c 5.5794
_cell_angle_alpha 90.00
_cell_angle_beta 90.07
_cell_angle_gamma 90.00
loop_
_symmetry_equiv_pos_as_xyz
'x,y,z'
'x,-y,z'
loop_
_atom_site_label
_atom_site_type_symbol
_atom_site_fract_x
_atom_site_fract_y
_atom_site_fract_z
Sc1 Sc 0.0000 0.0000 0.0000
Zn1 Zn 0.0013 0.5000 0.3769
Zn2 Zn 0.5014 0.0000 0.3770
Te1 Te 0.4996 0.5000 0.7968
# DOS at the Fermi energy ... 1.267 states/eV per cell
# Energy relative to the elements, uncorrected ... -468 meV per atom
# Uncorrected energy ... -80.4 eV/cell

***

# ScZn2Te, single point on PBEsol structure, DFT meta-GGA SCAN
data_ScZn2Te
_chemical_formula_sum 'Sc1 Zn2 Te1'
_symmetry_space_group_name_H-M 'P 4 m m'
_symmetry_Int_Tables_number 99
_cell_length_a 3.6523
_cell_length_b 3.6523
_cell_length_c 5.8612
_cell_angle_alpha 90.00
_cell_angle_beta 90.00
_cell_angle_gamma 90.00
loop_
_symmetry_equiv_pos_as_xyz
'x,y,z'
'-y,x,z'
'-x,-y,z'
'y,-x,z'
'-x,y,z'
'y,x,z'
'x,-y,z'
'-y,-x,z'
loop_
_atom_site_label
_atom_site_type_symbol
_atom_site_fract_x
_atom_site_fract_y
_atom_site_fract_z
Sc1 Sc 0.0000 0.0000 0.0000
Zn1 Zn 0.0000 0.0000 0.5304
Zn2 Zn 0.5000 0.5000 0.7100
Te1 Te 0.5000 0.5000 0.2193
# DOS at the Fermi energy ... 2.014 states/eV per cell
# Energy relative to the elements, uncorrected ... -380 meV per atom
# Uncorrected energy ... -80.0 eV/cell

***

Please write out number 1 again, unchanged.
# ScZn2Te, single point on PBEsol structure, DFT meta-GGA SCAN
data_ScZn2Te
_chemical_formula_sum 'Sc1 Zn2 Te1'
_symmetry_space_group_name_H-M 'P 1 m 1'
_symmetry_Int_Tables_number 6
_cell_length_a 3.8031
_cell_length_b 3.8034
_cell_length_c 5.5794
_cell_angle_alpha 90.00
_cell_angle_beta 90.07
_cell_angle_gamma 90.00
loop_
_symmetry_equiv_pos_as_xyz
'x,y,z'
'x,-y,z'
loop_
_atom_site_label
_atom_site_type_symbol
_atom_site_fract_x
_atom_site_fract_y
_atom_site_fract_z
Sc1 Sc 0.0000 0.0000 0.0000
Zn1 Zn 0.0013 0.5000 0.3769
Zn2 Zn 0.5014 0.0000 0.3770
Te1 Te 0.4996 0.5000 0.7968
# DOS at the Fermi energy ... 1.267 states/eV per cell
# Energy relative to the elements, uncorrected ... -468 meV per atom
# Uncorrected energy ... -80.4 eV/cell